## SrCrSbTe2 (PBE-GGA)

Data for an optimized crystal structure of SrCrSbTe2.

The structure in POSCAR format:
```
SrCrSbTe2
1.0
6.083 0.000 0.000
0.000 6.083 0.000
0.000 0.000 6.046
Sr Cr Sb Te
1 1 1 2
direct
0.000 0.000 0.000
0.500 0.500 0.500
0.000 0.000 0.500
0.000 0.500 0.000
0.500 0.000 0.000
```

## Properties
* space group: P4/mmm
* ΔE_f (raw): 0.772 eV/atom



## LiBe3Rh (PBE-GGA)

Data for an optimized crystal structure of LiBe3Rh.

The structure in POSCAR format:
```
LiBe3Rh
1.0
3.713 0.000 0.000
0.000 3.713 0.000
0.000 0.000 3.713
Li Be Rh
1 3 1
direct
0.000 0.000 0.000
0.000 0.000 0.500
0.000 0.500 0.000
0.500 0.000 0.000
0.500 0.500 0.500
```

## Properties
* space group: Pm-3m
* formation energy: 0.6837 eV per atom



In order of appearance, DOS(E_F) = 6.38; 2.81 states/eV per cell.
In order of appearance, ΔE to the lowest computed polymorph = 1118; 513 meV per atom.